[1]
## NiHg (PBE-GGA)

Data for an optimized crystal structure of NiHg.

Cell and atoms, written as extended XYZ:
```
12
Lattice="-2.592 -4.675 -5.632 7.281 2.688 -0.230 1.287 -3.302 2.149" Properties=species:S:1:pos:R:3 pbc="T T T"
Ni 5.603 -0.516 -2.151
Ni 2.729 -3.903 -1.637
Ni 4.086 0.127 -0.253
Ni 0.372 -4.773 -1.562
Ni 3.246 -1.386 -2.076
Ni 1.890 -5.416 -3.460
Hg 2.774 -2.944 -4.186
Hg 6.401 -1.164 0.372
Hg 0.714 -2.071 -1.611
Hg 3.202 -2.345 0.473
Hg -0.425 -4.125 -4.085
Hg 5.262 -3.218 -2.102
```

Values from the calculation:
Uncorrected energy: -0.1038 Ha/atom
Symmetry: P6_3/mmc (194)
Formation energy: 0.4 eV per formula unit

---

[2]
## NiHg (PBE-GGA)

Data for an optimized crystal structure of NiHg.

Cell and atoms, written as extended XYZ:
```
6
Lattice="-2.311 1.424 1.328 1.252 -2.411 1.324 8.286 7.692 6.171" Properties=species:S:1:pos:R:3 pbc="T T T"
Ni 5.757 5.344 4.288
Ni 0.130 1.309 2.260
Ni 5.694 6.475 6.404
Hg 8.199 7.611 6.106
Hg 2.589 2.403 1.928
Hg 3.262 4.217 4.593
```

Values from the calculation:
Uncorrected energy: -0.0979 Ha/atom
Symmetry: P3m1 (156)
Formation energy: 0.8 eV per formula unit

---

[3]
## NiHg (PBE-GGA)

Data for an optimized crystal structure of NiHg.

Cell and atoms, written as extended XYZ:
```
16
Lattice="-0.603 -6.473 4.374 -0.990 -4.289 -6.482 7.749 -1.051 -0.487" Properties=species:S:1:pos:R:3 pbc="T T T"
Ni 0.654 -1.254 -0.276
Ni 5.978 -5.460 -5.766
Ni 6.283 -7.181 2.786
Ni -0.601 -9.730 -1.936
Ni 3.732 -7.160 -1.573
Ni 2.297 -6.027 -0.094
Ni 2.215 -5.563 -2.399
Ni 4.070 -4.876 -1.126
Hg 1.796 -3.445 -0.757
Hg 4.612 -5.670 -3.661
Hg 4.773 -6.580 0.862
Hg 1.132 -7.929 -1.635
Hg 4.874 -9.352 -2.055
Hg 0.931 -6.237 2.011
Hg 0.705 -4.963 -4.322
Hg 5.803 -3.074 -0.825
```

Values from the calculation:
Uncorrected energy: -0.0925 Ha/atom
Symmetry: I-43m (217)
Formation energy: 1.0 eV per formula unit

---

[4]
## NiHg (PBE-GGA)

Data for an optimized crystal structure of NiHg.

Cell and atoms, written as extended XYZ:
```
6
Lattice="0.804 2.556 -1.299 -2.863 -0.819 0.029 -1.785 6.662 12.003" Properties=species:S:1:pos:R:3 pbc="T T T"
Ni -0.892 3.331 6.001
Ni -1.093 3.950 3.683
Ni -1.528 5.573 6.608
Hg -1.390 5.187 9.346
Hg -0.395 1.475 2.657
Hg -0.418 1.431 -0.856
```

Values from the calculation:
Uncorrected energy: -0.0984 Ha/atom
Symmetry: P-6m2 (187)
Formation energy: 0.7 eV per formula unit